(1)
Density functional theory data (PBE) for an optimized crystal structure of La2YP.

Cell: 6.0962 6.0962 6.0962 Å, 135.89 135.89 64.14°
Last column: nearest neighbours and their distance in Å.
Element x y z (fractional)
La 0.7500 0.2500 0.5000  4 La 3.24, 4 P 3.45, 4 Y 3.45
La 0.2500 0.7500 0.5000  4 La 3.24, 4 P 3.45, 4 Y 3.45
Y 0.0000 0.0000 0.0000  4 P 3.24, 8 La 3.45
P 0.5000 0.5000 0.0000  4 Y 3.24, 8 La 3.45

For the density of states at the Fermi level, the calculation gives 6.41 states/eV/cell. Its symmetry is No. 139.

(2)
Density functional theory data (PBE) for an optimized crystal structure of La2YP.

Cell: 5.9887 5.9887 5.9887 Å, 134.66 134.66 66.06°
Last column: nearest neighbours and their distance in Å.
Element x y z (fractional)
La 0.0000 0.0000 0.0000  4 P 3.26, 4 Y 3.41, 4 La 3.41
La 0.2500 0.7500 0.5000  4 Y 3.26, 4 La 3.41, 4 P 3.41
Y 0.7500 0.2500 0.5000  8 La 3.26-3.41, 4 P 3.41
P 0.5000 0.5000 0.0000  8 La 3.26-3.41, 4 Y 3.41

For the density of states at the Fermi level, the calculation gives 4.63 states/eV/cell. Its symmetry is No. 119.

(3)
Density functional theory data (PBE) for an optimized crystal structure of La2YP.

Cell: 6.7527 6.7527 3.9455 Å, 90.00 90.00 132.10°
Last column: nearest neighbours and their distance in Å.
Element x y z (fractional)
La 0.6670 0.3330 0.0000  2 P 2.85
La 0.3330 0.6670 0.0000  2 P 2.85
Y 0.0000 0.0000 0.5000  2 P 2.74
P 0.5000 0.5000 0.5000  2 Y 2.74, 4 La 2.85

For the density of states at the Fermi level, the calculation gives 4.38 states/eV/cell. Its symmetry is No. 65.

Computed stability ranking, most favorable first: (3), (2), (1)